Record 1
## GdYInCo2 (PBE)

Data for a relaxed GdYInCo2 crystal.

The space group is Amm2 (No. 38) and the conventional cell measures 3.9326, 3.8183 and 13.8569 Å, with angles of 90.00, 90.00 and 90.00 degrees. The inequivalent atoms are Gd at (0.0000, 0.0000, 0.0000), Y at (0.0000, 0.0000, 0.7221), In at (0.5000, 0.0000, 0.3598), Co at (0.5000, 0.0000, 0.1534) and Co at (0.5000, 0.0000, 0.5675).

=====

Record 2
## Nd2GdCoSn3Ir2 (PBE)

Data for a relaxed Nd2GdCoSn3Ir2 crystal.

The space group is Amm2 (No. 38) and the conventional cell measures 4.0790, 12.8418 and 7.4903 Å, with angles of 90.00, 90.00 and 90.00 degrees. The inequivalent atoms are Nd at (0.0000, 0.2053, 0.0000), Gd at (0.0000, 0.0000, 0.3862), Co at (0.0000, 0.0000, 0.7908), Sn at (0.5000, 0.0000, 0.0394), Sn at (0.5000, 0.1219, 0.6714) and Ir at (0.5000, 0.1626, 0.2960).

=====

Record 3
## NdGd2CoSn3Ir2 (PBE)

Data for a relaxed NdGd2CoSn3Ir2 crystal.

The space group is Amm2 (No. 38) and the conventional cell measures 3.9680, 13.0267 and 7.4635 Å, with angles of 90.00, 90.00 and 90.00 degrees. The inequivalent atoms are Nd at (0.0000, 0.0000, 0.0000), Gd at (0.0000, 0.2043, 0.6141), Co at (0.0000, 0.0000, 0.4130), Sn at (0.5000, 0.0000, 0.6560), Sn at (0.5000, 0.1244, 0.2874) and Ir at (0.5000, 0.1696, 0.9090).

=====

Record 4
## GdCoSi2Ir (PBE)

Data for a relaxed GdCoSi2Ir crystal.

The space group is I-4m2 (No. 119) and the conventional cell measures 3.9830, 3.9830 and 9.9659 Å, with angles of 90.00, 90.00 and 90.00 degrees. The inequivalent atoms are Gd at (0.0000, 0.0000, 0.0000), Co at (0.0000, 0.5000, 0.7500), Si at (0.0000, 0.0000, 0.3762) and Ir at (0.0000, 0.5000, 0.2500).

=====

Short version: total DFT energy (no corrections) = -59.47; -114.47; -114.56; -72.42 eV per cell, in the order given.
Short version: mass density = 7643; 10540; 10832; 9759 kg/m3, in the order given.